No. 1
## CuCSN (PBE-GGA)

Data for CuCSN after structural relaxation.

Output
total DFT energy (no corrections): -6.29 eV per atom
excess energy over the best structure of this formula in the dataset: 0.000 eV per atom
spin magnetization: 0.0 μB per cell
space-group type: P6_3mc (186)
ΔE_f (raw): 0.153 eV per atom

The structure in extended XYZ format:
```
8
Lattice="-3.330 -1.069 -1.579 1.326 -1.827 3.103 -5.331 7.082 6.447" Properties=species:S:1:pos:R:3 pbc="T T T"
C -1.721 0.412 3.351
C -5.939 4.206 5.013
Cu -4.446 2.223 3.208
Cu -0.228 -1.571 1.545
N -5.367 3.446 4.321
N -1.149 -0.348 2.659
S -6.747 5.280 5.991
S -2.530 1.486 4.329
```

No. 2
## Na5Sb3H12 (PBE-GGA)

Data for Na5Sb3H12 after structural relaxation.

Output
total DFT energy (no corrections): -2.67 eV per atom
spin magnetization: 0.0 μB per cell
space-group type: Ia-3d (230)

The structure in extended XYZ format:
```
80
Lattice="11.418 0.000 0.000 -3.806 10.765 0.000 -3.806 -5.383 9.323" Properties=species:S:1:pos:R:3 pbc="T T T"
H 2.078 6.534 1.019
H 5.534 5.076 1.506
H -2.145 -3.878 8.753
H 0.242 3.937 3.643
H -2.768 5.923 7.247
H -2.145 2.432 6.249
H -1.105 3.903 7.735
H 3.564 1.446 5.680
H 2.768 1.164 3.155
H 2.145 -1.446 5.680
H 1.661 6.828 3.643
H -1.728 0.307 7.817
H 4.671 4.842 7.247
H -4.604 3.327 6.737
H 3.981 1.151 8.304
H 4.911 8.709 2.586
H 6.814 -3.903 7.735
H -0.798 5.959 4.174
H 0.865 6.547 6.168
H 8.410 2.056 2.586
H 1.728 -1.151 8.304
H -3.008 9.285 1.588
H -2.941 4.759 5.231
H -4.048 7.815 3.073
H 5.951 9.260 0.569
H 1.105 0.576 5.149
H -0.175 6.840 0.488
H 2.078 3.925 0.488
H 6.574 -0.541 2.076
H -0.175 4.232 1.019
H 6.747 0.623 4.092
H 7.370 1.505 0.569
H 4.604 -0.576 5.149
H -1.038 -0.623 4.092
H -0.865 0.541 2.076
H -1.105 -3.327 6.737
H 4.911 1.480 1.588
H -3.564 3.878 8.753
H 2.701 4.806 4.174
H 2.941 -1.164 3.155
H 4.844 6.006 5.231
H 1.038 4.218 6.168
H 3.981 -1.458 8.835
H 1.728 1.458 8.835
H 7.854 -2.432 6.249
H 5.951 2.951 3.073
H 7.787 5.689 1.506
H -3.981 -0.307 7.817
Sb 4.758 0.673 3.496
Sb 2.855 0.000 6.992
Sb 8.564 0.000 2.331
Sb 6.661 7.401 1.165
Sb 0.952 -0.673 3.496
Sb -2.855 2.018 8.158
Sb 0.952 5.383 2.331
Sb 2.855 6.055 5.827
Sb -2.855 -2.018 8.158
Sb 6.661 3.364 1.165
Sb -4.758 5.383 6.992
Sb -0.952 4.710 5.827
Na 6.661 -0.673 5.827
Na -2.855 6.055 3.496
Na 3.806 -2.691 4.661
Na 5.709 0.000 0.000
Na -0.952 2.691 2.331
Na 3.806 5.383 0.000
Na -0.952 8.747 1.165
Na 4.758 2.691 6.992
Na -1.903 -2.691 4.661
Na -3.806 2.691 4.661
Na -0.952 0.673 5.827
Na 2.855 8.074 2.331
Na 1.903 2.691 4.661
Na 0.952 3.364 8.158
Na -1.903 5.383 0.000
Na 0.000 0.000 0.000
Na 4.758 4.710 3.496
Na 2.855 2.018 1.165
Na 0.952 -2.691 6.992
Na 4.758 -3.364 8.158
```

No. 3
## Na4Tb (PBE-GGA)

Data for Na4Tb after structural relaxation.

Output
total DFT energy (no corrections): -1.16 eV per atom
spin magnetization: 0.0 μB per cell
space-group type: Pm-3m (221)
formation energy from the elements: 0.817 eV/atom

The structure in extended XYZ format:
```
5
Lattice="-3.616 -1.687 5.222 -1.098 -5.905 -2.668 5.376 -2.340 2.967" Properties=species:S:1:pos:R:3 pbc="T T T"
Tb 0.331 -4.966 2.761
Na 0.880 -2.014 4.094
Na 0.000 0.000 0.000
Na 2.139 -4.123 0.150
Na -2.357 -3.796 1.277
```

No. 4
## TbPrEr2Se6 (PBE-GGA)

Data for TbPrEr2Se6 after structural relaxation.

Output
total DFT energy (no corrections): -5.79 eV per atom
spin magnetization: 0.0 μB per cell
space-group type: R3 (146)
ΔE_f (raw): -1.843 eV per atom

The structure in extended XYZ format:
```
10
Lattice="-2.443 5.825 3.606 -1.590 -0.508 7.079 4.748 3.408 5.048" Properties=species:S:1:pos:R:3 pbc="T T T"
Se 1.432 4.456 10.339
Se 1.556 6.721 7.339
Se -0.704 4.308 5.088
Se -2.034 5.818 8.877
Se 2.599 3.123 7.023
Se -0.841 1.714 8.501
Tb -1.044 1.853 3.635
Pr -0.582 6.244 11.527
Er 0.087 4.291 7.801
Er 4.541 3.352 4.998
```

No. 5
## USi2Ni3 (PBE-GGA)

Data for USi2Ni3 after structural relaxation.

Output
total DFT energy (no corrections): -6.95 eV per atom
spin magnetization: 0.0 μB per cell
space-group type: Immm (71)
ΔE_f (raw): -0.366 eV per atom

The structure in extended XYZ format:
```
12
Lattice="3.978 0.000 1.095 1.126 6.060 3.681 0.164 0.169 7.175" Properties=species:S:1:pos:R:3 pbc="T T T"
Ni 0.802 4.068 4.860
Ni 2.947 0.768 4.840
Ni 2.322 5.461 7.111
Ni 4.467 2.161 7.091
Ni 3.331 3.121 3.446
Ni 1.938 3.108 8.505
Si 1.149 1.947 3.600
Si 2.346 1.348 7.023
Si 2.923 4.881 4.928
Si 4.120 4.282 8.351
U 3.664 0.728 2.237
U 1.605 5.501 9.714
```

No. 6
## Ag2RhC (PBE-GGA)

Data for Ag2RhC after structural relaxation.

Output
total DFT energy (no corrections): -3.82 eV per atom
spin magnetization: 0.5 μB per cell
space-group type: I-42d (122)
formation energy from the elements: 1.751 eV/atom

The structure in extended XYZ format:
```
8
Lattice="-1.944 4.178 -1.484 -3.374 -2.446 -2.465 -6.412 0.924 3.103" Properties=species:S:1:pos:R:3 pbc="T T T"
C -2.659 0.866 -1.975
C -6.222 -0.328 -0.668
Rh -5.507 2.984 -0.178
Rh 0.000 0.000 0.000
Ag -7.206 1.051 0.552
Ag -4.187 -0.276 -1.128
Ag -3.008 2.038 -0.283
Ag -9.059 2.501 -0.834
```

No. 7
## NaGeSe2Br (PBE-GGA)

Data for NaGeSe2Br after structural relaxation.

Output
total DFT energy (no corrections): -3.24 eV per atom
excess energy over the best structure of this formula in the dataset: 0.000 eV per atom
spin magnetization: 0.0 μB per cell
space-group type: P4/mmm (123)
ΔE_f (raw): -0.324 eV per atom

The structure in extended XYZ format:
```
5
Lattice="-1.511 2.871 3.786 -4.666 -0.145 -1.753 -1.035 -4.688 3.143" Properties=species:S:1:pos:R:3 pbc="T T T"
Br -0.517 -2.344 1.571
Se -2.333 -0.073 -0.876
Se -0.756 1.436 1.893
Na -3.606 -0.981 2.588
Ge 0.000 0.000 0.000
```

No. 8
## LaTaHg (PBE-GGA)

Data for LaTaHg after structural relaxation.

Output
total DFT energy (no corrections): -5.29 eV per atom
excess energy over the best structure of this formula in the dataset: 0.148 eV per atom
spin magnetization: 0.0 μB per cell
space-group type: P3m1 (156)
formation energy from the elements: 0.406 eV/atom

The structure in extended XYZ format:
```
3
Lattice="3.198 0.000 0.000 -1.599 2.770 0.000 0.000 0.000 8.104" Properties=species:S:1:pos:R:3 pbc="T T T"
La 0.000 1.846 2.789
Ta 1.599 0.923 5.506
Hg 0.000 0.000 7.914
```